First-principles (PBE) data for crystalline Sc4Hg at its relaxed geometry, as listed in the Alexandria database.

```
data_Sc4Hg
_chemical_formula_sum 'Sc4 Hg1'
_cell_length_a 5.2872
_cell_length_b 5.2872
_cell_length_c 5.2872
_cell_angle_alpha 90.00
_cell_angle_beta 90.00
_cell_angle_gamma 90.00
_symmetry_space_group_name_H-M 'P m -3 m'
_symmetry_Int_Tables_number 221
_symmetry_space_group_name_Hall '-P 4 2 3'
loop_
_atom_site_label
_atom_site_type_symbol
_atom_site_fract_x
_atom_site_fract_y
_atom_site_fract_z
_atom_site_occupancy
Sc1 Sc 0.0000 0.0000 0.0000 1
Sc2 Sc 0.0000 0.5000 0.5000 1
Hg1 Hg 0.5000 0.5000 0.5000 1
```

**Formation energy from the elements**: 0.4126 eV per atom
**Total moment**: 0.000 μB per atom
**Polymorph energy (0 for the lowest one)**: 0.526 eV/atom
**Mass density**: 4.3 g cm⁻³


First-principles (PBE) data for crystalline PuU2S6 at its relaxed geometry, as listed in the Alexandria database.

```
data_PuU2S6
_chemical_formula_sum 'Pu2 U4 S12'
_cell_length_a 13.4709
_cell_length_b 5.0761
_cell_length_c 8.8124
_cell_angle_alpha 90.00
_cell_angle_beta 127.03
_cell_angle_gamma 90.00
_symmetry_space_group_name_H-M 'C 1 2/m 1'
_symmetry_Int_Tables_number 12
loop_
_symmetry_equiv_pos_as_xyz
'x,y,z'
'-x,-y,-z'
'-x,y,-z'
'x,-y,z'
'x+1/2,y+1/2,z'
'-x+1/2,-y+1/2,-z'
'-x+1/2,y+1/2,-z'
'x+1/2,-y+1/2,z'
loop_
_atom_site_label
_atom_site_type_symbol
_atom_site_fract_x
_atom_site_fract_y
_atom_site_fract_z
_atom_site_occupancy
Pu1 Pu 0.0000 0.0000 0.0000 1
U1 U 0.1817 0.0000 0.6074 1
S1 S 0.0388 0.0000 0.7206 1
S2 S 0.1283 0.5000 0.0535 1
S3 S 0.2462 0.5000 0.6258 1
```

**Total moment**: 0.889 μB per atom
**Uncorrected formation energy**: -1.3320 eV per atom
**Mass density**: 6.3 g cm⁻³


First-principles (PBE) data for crystalline ScGeN2F at its relaxed geometry, as listed in the Alexandria database.

```
data_ScGeN2F
_chemical_formula_sum 'Sc1 Ge1 N2 F1'
_cell_length_a 3.8385
_cell_length_b 3.8385
_cell_length_c 3.7422
_cell_angle_alpha 90.00
_cell_angle_beta 90.00
_cell_angle_gamma 90.00
_symmetry_space_group_name_H-M 'P 4/m m m'
_symmetry_Int_Tables_number 123
_symmetry_space_group_name_Hall '-P 4 2'
loop_
_atom_site_label
_atom_site_type_symbol
_atom_site_fract_x
_atom_site_fract_y
_atom_site_fract_z
_atom_site_occupancy
Sc1 Sc 0.0000 0.0000 0.0000 1
Ge1 Ge 0.5000 0.5000 0.5000 1
N1 N 0.0000 0.5000 0.5000 1
F1 F 0.5000 0.5000 0.0000 1
```

**Total moment**: 0.000 μB per atom
**Polymorph energy (0 for the lowest one)**: 0.000 eV/atom
**Uncorrected formation energy**: -0.6100 eV per atom
**Mass density**: 5.0 g cm⁻³


Q: total moment of number 2 (PuU2S6)?
A: 0.889 μB per atom